[1]
VASP calculation (PBE) on NaTe2H after structural relaxation.

Space-group type   I4_1/amd
Calculated total energy   -11.02 eV/f.u.

a b c (Å): 6.717 6.717 6.717
angles (deg): 102.04 102.04 125.65
Element x y z (fractional)
Na 0.375 0.625 0.750
Na 0.625 0.375 0.250
Te 0.000 0.000 0.000
Te 0.000 0.000 0.500
Te 0.000 0.500 0.000
Te 0.500 0.000 0.500
H 0.125 0.875 0.250
H 0.875 0.125 0.750

=====

[2]
VASP calculation (PBE) on BaAcTlSi after structural relaxation.

Space-group type   F-43m
Uncorrected formation energy   -221 meV per atom

a b c (Å): 5.744 5.744 5.744
angles (deg): 60.00 60.00 60.00
Element x y z (fractional)
Ba 0.000 0.000 0.000
Ac 0.500 0.500 0.500
Tl 0.250 0.250 0.250
Si 0.750 0.750 0.750

=====

[3]
VASP calculation (PBE) on Ce6PmN8 after structural relaxation.

Space-group type   Fm-3m
Uncorrected formation energy   -1221 meV per atom

a b c (Å): 7.111 7.111 7.111
angles (deg): 60.00 60.00 60.00
Element x y z (fractional)
Ce 0.000 0.000 0.500
Ce 0.000 0.500 0.000
Ce 0.000 0.500 0.500
Ce 0.500 0.000 0.000
Ce 0.500 0.000 0.500
Ce 0.500 0.500 0.000
Pm 0.000 0.000 0.000
N 0.239 0.239 0.761
N 0.239 0.761 0.239
N 0.239 0.761 0.761
N 0.250 0.250 0.250
N 0.750 0.750 0.750
N 0.761 0.239 0.239
N 0.761 0.239 0.761
N 0.761 0.761 0.239

=====

[4]
VASP calculation (PBE) on CaYSi after structural relaxation.

Space-group type   F-43m
Uncorrected formation energy   -427 meV per atom

a b c (Å): 4.931 4.931 4.931
angles (deg): 60.00 60.00 60.00
Element x y z (fractional)
Ca 0.000 0.000 0.000
Y 0.500 0.500 0.500
Si 0.250 0.250 0.250

=====

[5]
VASP calculation (PBE) on Ac2EuGa after structural relaxation.

Space-group type   P4/mmm
Calculated total energy   -22.34 eV/f.u.

a b c (Å): 3.982 3.982 9.375
angles (deg): 90.00 90.00 90.00
Element x y z (fractional)
Ac 0.000 0.000 0.196
Ac 0.000 0.000 0.804
Eu 0.500 0.500 0.500
Ga 0.500 0.500 0.000

=====

[6]
VASP calculation (PBE) on K2Th2AgTe6 after structural relaxation.

Space-group type   C2/m
Uncorrected formation energy   -935 meV per atom

a b c (Å): 7.813 7.813 8.856
angles (deg): 97.96 97.96 121.11
Element x y z (fractional)
K 0.163 0.837 0.000
K 0.837 0.163 0.000
Th 0.331 0.669 0.500
Th 0.669 0.331 0.500
Ag 0.000 0.000 0.500
Te 0.073 0.411 0.713
Te 0.245 0.245 0.307
Te 0.411 0.073 0.713
Te 0.589 0.927 0.287
Te 0.755 0.755 0.693
Te 0.927 0.589 0.287

=====

[7]
VASP calculation (PBE) on Mg2CoI after structural relaxation.

Space-group type   Fm-3m
Uncorrected formation energy   538 meV per atom

a b c (Å): 4.938 4.938 4.938
angles (deg): 60.00 60.00 60.00
Element x y z (fractional)
Mg 0.250 0.250 0.250
Mg 0.750 0.750 0.750
Co 0.000 0.000 0.000
I 0.500 0.500 0.500

=====

[8]
VASP calculation (PBE) on TlCr2Hg after structural relaxation.

Space-group type   Pm
Calculated total energy   -20.31 eV/f.u.

a b c (Å): 3.146 3.118 7.967
angles (deg): 90.00 101.31 90.00
Element x y z (fractional)
Tl 0.000 0.000 0.000
Cr 0.371 0.500 0.741
Cr 0.798 0.000 0.596
Hg 0.174 0.500 0.348

=====

[9]
VASP calculation (PBE) on Tb7Nd2Y after structural relaxation.

Space-group type   Cmmm
Calculated total energy   -46.88 eV/f.u.

a b c (Å): 14.851 14.851 3.527
angles (deg): 90.00 90.00 154.51
Element x y z (fractional)
Tb 0.000 0.000 0.000
Tb 0.156 0.352 0.000
Tb 0.315 0.685 0.500
Tb 0.352 0.156 0.000
Tb 0.648 0.844 0.000
Tb 0.685 0.315 0.500
Tb 0.844 0.648 0.000
Nd 0.207 0.793 0.000
Nd 0.793 0.207 0.000
Y 0.500 0.500 0.500

=====

[10]
VASP calculation (PBE) on SrTcB2 after structural relaxation.

Space-group type   Fm-3m
Calculated total energy   -20.40 eV/f.u.

a b c (Å): 4.335 4.335 4.335
angles (deg): 60.00 60.00 60.00
Element x y z (fractional)
Sr 0.000 0.000 0.000
Tc 0.500 0.500 0.500
B 0.250 0.250 0.250
B 0.750 0.750 0.750

=====

[11]
VASP calculation (PBE) on Cs2MgTiCl6 after structural relaxation.

Space-group type   Fm-3m
Uncorrected formation energy   -1749 meV per atom

a b c (Å): 7.265 7.265 7.265
angles (deg): 60.00 60.00 60.00
Element x y z (fractional)
Cs 0.250 0.250 0.250
Cs 0.750 0.750 0.750
Mg 0.000 0.000 0.000
Ti 0.500 0.500 0.500
Cl 0.249 0.249 0.751
Cl 0.249 0.751 0.249
Cl 0.249 0.751 0.751
Cl 0.751 0.249 0.249
Cl 0.751 0.249 0.751
Cl 0.751 0.751 0.249

=====

[12]
VASP calculation (PBE) on KNdEr4S8 after structural relaxation.

Space-group type   R3m
Uncorrected formation energy   -1919 meV per atom

a b c (Å): 8.285 8.285 8.285
angles (deg): 58.91 58.91 58.91
Element x y z (fractional)
K 0.000 0.000 0.000
Nd 0.366 0.366 0.366
Er 0.366 0.366 0.884
Er 0.366 0.884 0.366
Er 0.745 0.745 0.745
Er 0.884 0.366 0.366
S 0.130 0.130 0.573
S 0.130 0.573 0.130
S 0.139 0.139 0.139
S 0.139 0.619 0.619
S 0.573 0.130 0.130
S 0.614 0.614 0.614
S 0.619 0.139 0.619
S 0.619 0.619 0.139